1.
Crystalline CeHf4Se8 at its relaxed geometry. Source: the Alexandria database, functional GGA-PBE.

Final energy (eV/atom): -6.9288
Calculated density (g/cm³): 7.12
Formation energy (no corrections) (eV/atom): -1.27
Polymorph energy (0 for the lowest one) (kJ/mol of formula units): 203
SG: No. 216
Volume (Å³ per cell): 346.6

Unit cell a=7.885 b=7.885 c=7.885 alpha=60.00 beta=60.00 gamma=60.00
Positions (direct):
Se (0.121, 0.121, 0.637)
Se (0.121, 0.121, 0.121)
Se (0.607, 0.607, 0.179)
Se (0.121, 0.637, 0.121)
Se (0.607, 0.179, 0.607)
Se (0.637, 0.121, 0.121)
Se (0.607, 0.607, 0.607)
Se (0.179, 0.607, 0.607)
Hf (0.359, 0.359, 0.359)
Hf (0.359, 0.924, 0.359)
Hf (0.359, 0.359, 0.924)
Hf (0.924, 0.359, 0.359)
Ce (0.750, 0.750, 0.750)

=====

2.
Crystalline MgCd5Hg at its relaxed geometry. Source: the Alexandria database, functional GGA-PBE.

Final energy (eV/atom): -0.9042
Calculated density (g/cm³): 7.76
Polymorph energy (0 for the lowest one) (kJ/mol of formula units): 13
SG: No. 15
Volume (Å³ per cell): 336.6

Unit cell a=7.972 b=6.784 c=6.784 alpha=83.22 beta=106.60 gamma=106.60
Positions (direct):
Cd (0.370, 0.031, 0.300)
Cd (0.423, 0.207, 0.866)
Cd (0.750, 0.573, 0.927)
Cd (0.577, 0.793, 0.134)
Cd (0.130, 0.200, 0.469)
Cd (0.923, 0.366, 0.707)
Cd (0.630, 0.969, 0.700)
Cd (0.250, 0.427, 0.073)
Cd (0.870, 0.800, 0.531)
Cd (0.077, 0.634, 0.293)
Hg (0.250, 0.763, 0.737)
Hg (0.750, 0.237, 0.263)
Mg (0.000, 0.000, 0.000)
Mg (0.500, 0.500, 0.500)

=====

3.
Crystalline GdDyC4 at its relaxed geometry. Source: the Alexandria database, functional GGA-PBE.

Final energy (eV/atom): -9.4404
Calculated density (g/cm³): 7.13
SG: No. 65
Volume (Å³ per cell): 85.6

Unit cell a=4.072 b=4.072 c=5.242 alpha=90.00 beta=90.00 gamma=79.97
Positions (direct):
C (0.104, 0.104, 0.500)
C (0.396, 0.396, 0.000)
C (0.604, 0.604, 0.000)
C (0.896, 0.896, 0.500)
Gd (0.000, 0.000, 0.000)
Dy (0.500, 0.500, 0.500)